No. 1
Density functional theory data (PBE) for a relaxed Nd2HfCd crystal.

```
Nd2HfCd
1.0
3.279 0.000 0.000
1.639 2.839 0.000
1.639 0.946 12.087
Nd Hf Cd
2 1 1
Cartesian
4.918 2.839 3.183 Nd
1.639 0.946 8.904 Nd
0.000 0.000 0.000 Hf
3.279 1.893 6.043 Cd
```

Computed properties:
Volume ... 28.13 Å³ per atom
Formation energy ... 1.33 eV/f.u.
Excess energy over the best structure of this formula in the dataset ... 361.3 meV per atom



No. 2
Density functional theory data (PBE) for a relaxed BaAg2S2 crystal.

```
BaAg2S2
1.0
4.125 0.000 0.000
0.000 4.125 0.000
2.063 2.063 6.809
Ag S Ba
2 2 1
Cartesian
4.125 2.063 3.404 Ag
2.063 4.125 3.404 Ag
2.063 2.063 1.663 S
4.125 4.125 5.145 S
0.000 0.000 0.000 Ba
```

Computed properties:
ΔE_f (raw) ... -829 meV/atom
Volume ... 23.17 Å³ per atom



No. 3
Density functional theory data (PBE) for a relaxed Pm2Nd3DyAs6 crystal.

```
Pm2Nd3DyAs6
1.0
-1.020 2.785 3.028
-7.418 1.442 -3.826
-1.394 -8.351 4.244
Dy As Nd Pm
1 6 3 2
Cartesian
-0.510 1.392 1.514 Dy
-1.807 0.351 -0.932 As
-8.025 -4.474 4.377 As
-4.367 -4.029 2.234 As
-1.754 -0.773 3.087 As
-8.079 -3.350 0.358 As
-5.466 -0.094 1.211 As
-4.219 2.113 -0.399 Nd
-6.821 -1.122 -1.267 Nd
-3.011 -3.002 4.713 Nd
-6.734 -2.293 2.806 Pm
-3.098 -1.830 0.639 Pm
```

Computed properties:
Volume ... 26.88 Å³ per atom
Formation energy ... -18.20 eV/f.u.



No. 4
Density functional theory data (PBE) for a relaxed K4Ho3TmTe8 crystal.

```
K4Ho3TmTe8
1.0
-5.516 5.360 -4.566
4.464 -2.461 -8.282
-3.330 -6.623 5.009
Te Ho K Tm
8 3 4 1
Cartesian
-1.377 -6.920 -2.057 Te
-3.005 3.197 -5.781 Te
-4.678 -0.131 -3.264 Te
-2.472 -0.923 -6.859 Te
-1.910 -2.800 -0.980 Te
0.296 -3.592 -4.574 Te
-0.233 0.503 -3.487 Te
-4.149 -4.227 -4.352 Te
0.567 -4.542 -1.636 Ho
-2.191 -1.862 -3.919 Ho
-0.526 1.450 -6.424 Ho
-1.665 -3.311 2.505 K
-4.423 -0.631 0.221 K
-2.758 2.680 -2.283 K
0.000 0.000 0.000 K
2.232 -1.231 -4.141 Tm
```

Computed properties:
ΔE_f (raw) ... -1385 meV/atom
Volume ... 35.68 Å³ per atom



No. 5
Density functional theory data (PBE) for a relaxed KAuI3 crystal.

```
KAuI3
1.0
4.213 0.000 0.000
0.000 3.743 -8.920
0.000 3.743 8.920
I Au K
3 1 1
Cartesian
2.107 5.615 1.219 I
0.000 3.743 4.582 I
2.107 1.872 1.219 I
0.000 3.743 1.442 Au
2.107 3.743 7.094 K
```

Computed properties:
ΔE_f (raw) ... -445 meV/atom
Volume ... 56.28 Å³ per atom



No. 6
Density functional theory data (PBE) for a relaxed HfBiN2F crystal.

```
HfBiN2F
1.0
-2.434 3.679 -0.185
-2.385 -1.743 -3.281
-2.677 -1.630 2.811
N Hf F Bi
2 1 1 1
Cartesian
-1.217 1.839 -0.092 N
-1.192 -0.872 -1.641 N
-3.748 0.153 -0.327 Hf
-1.338 -0.815 1.406 F
0.000 0.000 0.000 Bi
```

Computed properties:
ΔE_f (raw) ... 668 meV/atom
Volume ... 16.41 Å³ per atom
Excess energy over the best structure of this formula in the dataset ... 1539.9 meV per atom



Q: What is the volume in the second record?
A: 23.17 Å³ per atom



Q: Which of these has the highest volume?
A: KAuI3